Entry 1:
Sr2Zn3Te2P2O14 (GGA-PBEsol, relaxed); energy = -6.3939 eV/atom; energy relative to the elements, uncorrected = -2022 meV/atom; calculated density = 4.9 g cm⁻³; Fermi-level density of states = 0.0 states/eV/cell
1.0
-3.594 0.893 3.686
0.084 -7.520 1.905
11.252 2.662 10.011
Sr Zn O P Te
4 6 28 4 4
Direct
0.502 0.950 0.299 Sr
0.498 0.050 0.701 Sr
0.498 0.450 0.201 Sr
0.502 0.550 0.799 Sr
0.985 0.116 0.116 Zn
0.000 0.500 0.000 Zn
0.015 0.884 0.884 Zn
0.985 0.384 0.616 Zn
0.015 0.616 0.384 Zn
0.000 0.000 0.500 Zn
0.243 0.269 0.072 O
0.294 0.543 0.460 O
0.876 0.113 0.380 O
0.294 0.957 0.960 O
0.706 0.105 0.555 O
0.706 0.043 0.040 O
0.206 0.685 0.276 O
0.794 0.315 0.724 O
0.706 0.457 0.540 O
0.762 0.744 0.208 O
0.206 0.815 0.776 O
0.294 0.605 0.945 O
0.876 0.387 0.880 O
0.165 0.578 0.671 O
0.835 0.078 0.829 O
0.706 0.395 0.055 O
0.165 0.922 0.171 O
0.238 0.244 0.292 O
0.124 0.887 0.620 O
0.794 0.185 0.224 O
0.124 0.613 0.120 O
0.835 0.422 0.329 O
0.757 0.769 0.428 O
0.238 0.256 0.792 O
0.757 0.731 0.928 O
0.243 0.231 0.572 O
0.762 0.756 0.708 O
0.294 0.895 0.445 O
0.949 0.258 0.808 P
0.949 0.242 0.308 P
0.051 0.758 0.692 P
0.051 0.742 0.192 P
0.507 0.228 0.989 Te
0.493 0.728 0.511 Te
0.507 0.272 0.489 Te
0.493 0.772 0.011 Te

***

Entry 2:
SrTl2P4O12 (GGA-PBEsol, relaxed); energy = -7.0849 eV/atom; energy relative to the elements, uncorrected = -2177 meV/atom; calculated density = 4.6 g cm⁻³; Fermi-level density of states = 0.0 states/eV/cell
1.0
-3.066 5.204 -4.244
4.772 -4.693 -3.114
-4.301 -5.446 2.519
O P Sr Tl
12 4 1 2
Direct
0.698 0.085 0.021 O
0.361 0.735 0.992 O
0.936 0.613 0.915 O
0.437 0.098 0.159 O
0.939 0.841 0.278 O
0.563 0.722 0.661 O
0.743 0.008 0.369 O
0.302 0.323 0.387 O
0.639 0.631 0.374 O
0.061 0.339 0.902 O
0.257 0.626 0.265 O
0.064 0.979 0.677 O
0.128 0.562 0.002 P
0.560 0.998 0.126 P
0.872 0.874 0.434 P
0.440 0.566 0.438 P
0.000 0.000 0.000 Sr
0.500 0.417 0.917 Tl
0.500 0.083 0.583 Tl

***

Entry 3:
SrVP2O8 (GGA-PBEsol, relaxed); energy = -7.8469 eV/atom; energy relative to the elements, uncorrected = -2426 meV/atom; calculated density = 3.4 g cm⁻³; Fermi-level density of states = 0.5 states/eV/cell
1.0
-4.656 -2.258 -2.910
4.971 -4.690 -1.627
-2.247 -1.122 8.400
O Sr V P
16 2 2 4
Direct
0.948 0.087 0.699 O
0.715 0.012 0.128 O
0.359 0.206 0.264 O
0.835 0.588 0.895 O
0.387 0.564 0.845 O
0.658 0.941 0.380 O
0.641 0.794 0.736 O
0.550 0.405 0.606 O
0.011 0.251 0.429 O
0.613 0.436 0.155 O
0.165 0.412 0.105 O
0.052 0.913 0.301 O
0.285 0.988 0.872 O
0.450 0.595 0.394 O
0.342 0.059 0.620 O
0.989 0.749 0.571 O
0.746 0.222 0.941 Sr
0.254 0.778 0.059 Sr
0.298 0.189 0.456 V
0.702 0.811 0.544 V
0.153 0.978 0.702 P
0.399 0.412 0.218 P
0.601 0.588 0.782 P
0.847 0.022 0.298 P

***

Entry 4:
SrVPO6 (GGA-PBEsol, relaxed); energy = -8.0381 eV/atom; energy relative to the elements, uncorrected = -2620 meV/atom; calculated density = 3.9 g cm⁻³; Fermi-level density of states = 0.0 states/eV/cell
1.0
-1.014 -5.118 -1.694
6.028 0.971 -5.897
6.667 -3.392 6.255
O P Sr V
24 4 4 4
Direct
0.082 0.830 0.138 O
0.744 0.882 0.838 O
0.116 0.385 0.075 O
0.527 0.730 0.034 O
0.884 0.615 0.925 O
0.313 0.466 0.575 O
0.473 0.270 0.966 O
0.082 0.330 0.362 O
0.256 0.618 0.338 O
0.313 0.966 0.925 O
0.884 0.115 0.575 O
0.744 0.382 0.662 O
0.473 0.770 0.534 O
0.508 0.862 0.285 O
0.256 0.118 0.162 O
0.918 0.170 0.862 O
0.918 0.670 0.638 O
0.116 0.885 0.425 O
0.508 0.362 0.215 O
0.687 0.034 0.075 O
0.492 0.138 0.715 O
0.527 0.230 0.466 O
0.492 0.638 0.785 O
0.687 0.534 0.425 O
0.335 0.786 0.394 P
0.665 0.714 0.894 P
0.335 0.286 0.106 P
0.665 0.214 0.606 P
0.142 0.926 0.688 Sr
0.858 0.574 0.188 Sr
0.858 0.074 0.312 Sr
0.142 0.426 0.812 Sr
0.341 0.412 0.409 V
0.659 0.588 0.591 V
0.341 0.912 0.091 V
0.659 0.088 0.909 V

***

Entry 5:
Sr2VP3O12 (GGA-PBEsol, relaxed); energy = -7.7140 eV/atom; energy relative to the elements, uncorrected = -2510 meV/atom; calculated density = 3.6 g cm⁻³
1.0
8.124 0.030 -0.022
-0.915 8.072 -0.022
-3.602 -4.049 7.205
O P Sr V
24 6 4 2
Direct
0.114 0.207 0.533 O
0.696 0.541 0.732 O
0.793 0.886 0.967 O
0.024 0.694 0.020 O
0.304 0.459 0.268 O
0.627 0.090 0.186 O
0.886 0.793 0.467 O
0.620 0.743 0.549 O
0.910 0.373 0.314 O
0.380 0.257 0.451 O
0.541 0.696 0.232 O
0.595 0.352 0.096 O
0.257 0.380 0.951 O
0.459 0.304 0.768 O
0.207 0.114 0.033 O
0.352 0.595 0.596 O
0.648 0.405 0.404 O
0.405 0.648 0.904 O
0.976 0.306 0.980 O
0.306 0.976 0.480 O
0.373 0.910 0.814 O
0.090 0.627 0.686 O
0.694 0.024 0.520 O
0.743 0.620 0.049 O
0.181 0.299 0.055 P
0.296 0.704 0.750 P
0.299 0.181 0.555 P
0.701 0.819 0.445 P
0.819 0.701 0.945 P
0.704 0.296 0.250 P
0.650 0.060 0.817 Sr
0.350 0.940 0.183 Sr
0.060 0.650 0.317 Sr
0.940 0.350 0.683 Sr
0.500 0.500 0.500 V
0.500 0.500 0.000 V

***

Entry 6:
SrVZnP2O8 (GGA-PBEsol, relaxed); energy = -7.4131 eV/atom; energy relative to the elements, uncorrected = -2287 meV/atom; calculated density = 4.2 g cm⁻³; Fermi-level density of states = 1.1 states/eV/cell
1.0
-4.941 -1.079 -2.026
2.055 -6.452 1.021
-2.188 4.127 8.094
O V Zn P Sr
16 2 2 4 2
Direct
0.727 0.999 0.131 O
0.800 0.550 0.901 O
0.618 0.952 0.370 O
0.382 0.048 0.630 O
0.632 0.413 0.607 O
0.273 0.001 0.869 O
0.003 0.748 0.583 O
0.330 0.533 0.787 O
0.997 0.252 0.417 O
0.368 0.587 0.393 O
0.960 0.121 0.700 O
0.040 0.879 0.300 O
0.320 0.194 0.227 O
0.680 0.806 0.773 O
0.200 0.450 0.099 O
0.670 0.467 0.213 O
0.353 0.147 0.436 V
0.647 0.853 0.564 V
0.007 0.616 0.357 Zn
0.993 0.384 0.643 Zn
0.165 0.980 0.701 P
0.835 0.020 0.299 P
0.608 0.578 0.769 P
0.392 0.422 0.231 P
0.761 0.203 0.954 Sr
0.239 0.797 0.046 Sr

***

Entry 7:
SrZnPO2 (GGA-PBEsol, relaxed); energy = -3.6417 eV/atom; energy relative to the elements, uncorrected = 301 meV/atom; calculated density = 3.0 g cm⁻³; Fermi-level density of states = 4.7 states/eV/cell
1.0
4.390 0.000 0.000
0.000 4.390 0.000
0.000 0.000 6.195
O Sr P Zn
2 1 1 1
Direct
0.000 0.500 0.000 O
0.500 0.000 0.000 O
0.000 0.000 0.000 Sr
0.000 0.000 0.500 P
0.500 0.500 0.500 Zn

***

Entry 8:
SrZnP2O7 (GGA-PBEsol, relaxed); energy = -7.1289 eV/atom; energy relative to the elements, uncorrected = -2424 meV/atom; calculated density = 3.9 g cm⁻³; Fermi-level density of states = 0.0 states/eV/cell
1.0
5.321 0.000 0.005
0.000 8.183 0.000
0.063 0.000 12.759
P O Sr Zn
8 28 4 4
Direct
0.818 0.699 0.520 P
0.247 0.033 0.335 P
0.753 0.967 0.665 P
0.747 0.467 0.835 P
0.253 0.533 0.165 P
0.682 0.199 0.980 P
0.318 0.801 0.020 P
0.182 0.301 0.480 P
0.327 0.403 0.398 O
0.950 0.881 0.734 O
0.827 0.097 0.898 O
0.204 0.816 0.910 O
0.704 0.684 0.410 O
0.102 0.666 0.526 O
0.728 0.388 0.950 O
0.272 0.612 0.050 O
0.486 0.942 0.705 O
0.173 0.903 0.102 O
0.898 0.334 0.474 O
0.673 0.597 0.602 O
0.296 0.316 0.590 O
0.331 0.355 0.153 O
0.398 0.166 0.974 O
0.050 0.119 0.266 O
0.514 0.058 0.295 O
0.831 0.145 0.653 O
0.014 0.442 0.795 O
0.550 0.381 0.766 O
0.450 0.619 0.234 O
0.796 0.184 0.090 O
0.772 0.888 0.550 O
0.602 0.834 0.026 O
0.169 0.855 0.347 O
0.986 0.558 0.205 O
0.669 0.645 0.847 O
0.228 0.112 0.450 O
0.288 0.662 0.720 Sr
0.212 0.162 0.780 Sr
0.788 0.838 0.220 Sr
0.712 0.338 0.280 Sr
0.330 0.651 0.395 Zn
0.670 0.349 0.605 Zn
0.170 0.151 0.105 Zn
0.830 0.849 0.895 Zn

***

Entry 9:
SrZrP2O8 (GGA-PBEsol, relaxed); energy = -8.2244 eV/atom; energy relative to the elements, uncorrected = -2849 meV/atom; calculated density = 3.9 g cm⁻³; Fermi-level density of states = 0.0 states/eV/cell
1.0
5.146 0.009 0.005
-0.059 7.708 -0.008
-0.872 -0.312 7.865
O P Zr Sr
16 4 2 2
Direct
0.558 0.186 0.226 O
0.813 0.399 0.078 O
0.932 0.227 0.669 O
0.232 0.920 0.028 O
0.743 0.585 0.467 O
0.257 0.415 0.533 O
0.068 0.773 0.331 O
0.046 0.164 0.242 O
0.309 0.081 0.534 O
0.691 0.919 0.466 O
0.581 0.753 0.212 O
0.419 0.247 0.788 O
0.954 0.836 0.758 O
0.768 0.080 0.972 O
0.442 0.814 0.774 O
0.187 0.601 0.922 O
0.202 0.791 0.875 P
0.216 0.252 0.625 P
0.798 0.209 0.125 P
0.784 0.748 0.375 P
0.663 0.028 0.721 Zr
0.337 0.972 0.279 Zr
0.704 0.525 0.774 Sr
0.296 0.475 0.226 Sr

***

Entry 10:
TaPO5 (GGA-PBEsol, relaxed); energy = -8.9466 eV/atom; energy relative to the elements, uncorrected = -2577 meV/atom; calculated density = 5.8 g cm⁻³; Fermi-level density of states = 0.0 states/eV/cell; ΔE to the lowest computed polymorph = 0.0363 eV/atom
1.0
-3.434 1.873 -0.705
-0.724 -3.384 -5.468
-3.176 -4.596 3.265
O Ta P
10 2 2
Direct
0.280 0.195 0.000 O
0.280 0.805 0.000 O
0.225 0.000 0.500 O
0.720 0.305 0.500 O
0.720 0.000 0.805 O
0.720 0.695 0.500 O
0.775 0.500 0.000 O
0.720 0.000 0.195 O
0.280 0.500 0.695 O
0.280 0.500 0.305 O
0.237 0.500 0.000 Ta
0.763 0.000 0.500 Ta
0.500 0.000 0.000 P
0.500 0.500 0.500 P

***

Entry 11:
Ta3PO (GGA-PBEsol, relaxed); energy = -8.6371 eV/atom; energy relative to the elements, uncorrected = 1102 meV/atom; calculated density = 10.5 g cm⁻³; Fermi-level density of states = 5.7 states/eV/cell
1.0
-2.047 3.396 -2.193
0.186 -2.376 -3.853
-4.038 -1.831 0.934
Ta P O
3 1 1
Direct
0.000 0.500 0.000 Ta
0.000 0.000 0.500 Ta
0.500 0.000 0.000 Ta
0.000 0.000 0.000 P
0.500 0.500 0.500 O

***

Entry 12:
TaP2O7 (GGA-PBEsol, relaxed); energy = -8.3870 eV/atom; energy relative to the elements, uncorrected = -2299 meV/atom; calculated density = 4.0 g cm⁻³; Fermi-level density of states = 15.8 states/eV/cell
1.0
8.354 0.000 0.000
0.000 8.354 0.000
0.000 0.000 8.354
O P Ta
28 8 4
Direct
0.781 0.080 0.441 O
0.281 0.080 0.059 O
0.941 0.719 0.920 O
0.219 0.920 0.559 O
0.559 0.281 0.420 O
0.000 0.000 0.000 O
0.781 0.420 0.941 O
0.420 0.559 0.281 O
0.920 0.559 0.219 O
0.219 0.580 0.059 O
0.559 0.219 0.920 O
0.000 0.500 0.500 O
0.920 0.941 0.719 O
0.719 0.920 0.941 O
0.080 0.059 0.281 O
0.059 0.219 0.580 O
0.500 0.000 0.500 O
0.500 0.500 0.000 O
0.441 0.781 0.080 O
0.080 0.441 0.781 O
0.580 0.059 0.219 O
0.719 0.580 0.441 O
0.580 0.441 0.719 O
0.059 0.281 0.080 O
0.281 0.420 0.559 O
0.941 0.781 0.420 O
0.441 0.719 0.580 O
0.420 0.941 0.781 O
0.609 0.391 0.891 P
0.891 0.891 0.891 P
0.109 0.391 0.609 P
0.109 0.109 0.109 P
0.609 0.109 0.391 P
0.891 0.609 0.391 P
0.391 0.609 0.109 P
0.391 0.891 0.609 P
0.500 0.000 0.000 Ta
0.000 0.000 0.500 Ta
0.500 0.500 0.500 Ta
0.000 0.500 0.000 Ta

***

- Which of these has the lowest energy?
  TaPO5

***

- Among the records above, which one has the highest energy relative to the elements, uncorrected?
  Ta3PO

***

Repeat the ninth record exactly.
SrZrP2O8 (GGA-PBEsol, relaxed); energy = -8.2244 eV/atom; energy relative to the elements, uncorrected = -2849 meV/atom; calculated density = 3.9 g cm⁻³; Fermi-level density of states = 0.0 states/eV/cell
1.0
5.146 0.009 0.005
-0.059 7.708 -0.008
-0.872 -0.312 7.865
O P Zr Sr
16 4 2 2
Direct
0.558 0.186 0.226 O
0.813 0.399 0.078 O
0.932 0.227 0.669 O
0.232 0.920 0.028 O
0.743 0.585 0.467 O
0.257 0.415 0.533 O
0.068 0.773 0.331 O
0.046 0.164 0.242 O
0.309 0.081 0.534 O
0.691 0.919 0.466 O
0.581 0.753 0.212 O
0.419 0.247 0.788 O
0.954 0.836 0.758 O
0.768 0.080 0.972 O
0.442 0.814 0.774 O
0.187 0.601 0.922 O
0.202 0.791 0.875 P
0.216 0.252 0.625 P
0.798 0.209 0.125 P
0.784 0.748 0.375 P
0.663 0.028 0.721 Zr
0.337 0.972 0.279 Zr
0.704 0.525 0.774 Sr
0.296 0.475 0.226 Sr